! HfTe2MoPt | Alexandria via LeMat-Bulk | GGA-PBE | optimized geometry; values from VASP
&SYSTEM
  ibrav = 0, nat = 5, ntyp = 4
/
ATOMIC_SPECIES
Hf 178.49 Hf.upf
Te 127.60 Te.upf
Mo 95.94 Mo.upf
Pt 195.08 Pt.upf
CELL_PARAMETERS angstrom
5.472 0.000 0.000
0.000 5.472 0.000
0.000 0.000 4.969
ATOMIC_POSITIONS angstrom
Hf 0.000 0.000 0.000
Te 0.000 2.736 0.000
Te 2.736 0.000 0.000
Mo 2.736 2.736 2.485
Pt 0.000 0.000 2.485
! Theoretical density in kg/m3: 8089
! Energy relative to the elements, uncorrected in meV per atom: 822
! Magnetic moment in μB/f.u.: 4.0
! Polymorph energy (0 for the lowest one) in meV/atom: 65
! Uncorrected energy in eV/atom: -5.800
! DOS(E_F) in states/eV per cell: 2.48